(1)
## HfSi2 (GGA-PBE)

Data for HfSi2 after structural relaxation.

```
HfSi2
1.0
2.3255 -2.2960 0.0000
2.3255 2.2960 0.0000
-2.3179 0.0000 4.5287
Hf Si
1 2
direct
0.0000 0.0000 0.0000
0.3140 0.3140 0.6302
0.6860 0.6860 0.3698
```

Summary:
E_tot ... -21.78 eV/cell
Formation energy from raw total energies ... -32 kJ per mole of atoms


(2)
## LaNdTm2As4 (GGA-PBE)

Data for LaNdTm2As4 after structural relaxation.

```
LaNdTm2As4
1.0
7.2539 0.0000 0.0000
0.0000 4.2003 0.0000
-2.4277 0.0000 6.8545
La Nd Tm As
1 1 2 4
direct
0.0000 0.0000 0.0000
0.0000 0.5000 0.5000
0.5000 0.0000 0.5000
0.5000 0.5000 0.0000
0.2643 0.0000 0.7529
0.2656 0.5000 0.2571
0.7344 0.5000 0.7429
0.7357 0.0000 0.2471
```

Summary:
E_tot ... -49.32 eV/cell